Entry from Alexandria via LeMat-Bulk: crystalline LaIn2ReRu at its relaxed geometry (GGA-PBE).

Structure (POSCAR):
```
LaIn2ReRu
1.0
5.041 0.000 0.000
0.000 4.901 0.000
0.000 0.000 5.041
Re In Ru La
1 2 1 1
Direct
0.000 0.500 0.000 Re
0.000 0.000 0.500 In
0.500 0.000 0.000 In
0.000 0.000 0.000 Ru
0.500 0.500 0.500 La
```

Computed properties:
DOS at the Fermi energy: 5.8 states/eV per cell
formation enthalpy at 0 K: 0.4520 eV/atom